Material: Cd12Sn3Au5
Method: DFT, PBE
State: optimized geometry

Cell: 16.607 16.607 16.607 Å, 90.00 90.00 90.00°
Space group Ia-3d (No. 230)
Unique sites:
Cd 0.020 0.075 0.649 x96
Sn 0.000 0.250 0.125 x24
Au 0.000 0.000 0.000 x16
Au 0.000 0.250 0.375 x24

Its raw total energy is -1.85 eV per atom. The value obtained for the density of states at the Fermi level is 0.35 states/eV/atom.